Computed, not measured: HfTeCl2 after structural relaxation at the PBE level of DFT.

Cell lengths 11.719, 11.719, 11.719 Å; angles 15.88, 15.88, 15.88 degrees
Fractional coordinates of all 4 atoms:
1 Cl 0.115 0.115 0.115
2 Te 0.000 0.000 0.000
3 Hf 0.500 0.500 0.500
4 Cl 0.885 0.885 0.885

Computed properties:
* VASP energy: -5.136 eV/atom
* N(E_F): 1.985 states/eV/f.u.
* raw formation energy: -0.94 eV per atom
* distance to the lowest polymorph of the same formula: 20 meV/atom
* density: 6.0 g/cm3
* crystal system: trigonal
* total magnetic moment: 0.000 μB/atom